Entry 1:
8
Lattice="-0.7370 0.9157 2.8736 0.7365 -5.0651 1.8030 6.1650 1.3106 1.1636" Properties=species:S:1:pos:R:3 comment="NaO, relaxed, DFT GGA-PBE" energy_ev_per_atom=-3.824 spacegroup="Pbcm, No. 57" pbc="T T T"
Na -0.0129 -3.0965 3.5562
Na 0.0124 -1.0529 1.1203
Na 3.0949 -0.3976 1.7021
Na 3.0696 -2.4412 4.1381
O 4.3964 -0.4718 3.7159
O 5.0989 -3.4196 3.3140
O 1.0656 0.5808 2.5261
O 1.7681 -2.3671 2.1243

=====

Entry 2:
32
Lattice="-1.3759 1.7478 5.7997 11.8897 -5.0321 4.3371 2.5074 5.1098 -0.9451" Properties=species:S:1:pos:R:3 comment="NaO, relaxed, DFT GGA-PBE" energy_ev_per_atom=-3.776 spacegroup="Fddd, No. 70" pbc="T T T"
Na 7.8441 1.3545 1.4526
Na 7.1187 2.1520 4.3666
Na 7.9041 -2.4250 7.5955
Na -0.0798 2.1132 2.6707
Na 5.9025 -0.3265 4.8250
Na 9.8457 -0.7440 4.2231
Na 3.8634 1.6956 2.0687
Na 0.6456 1.3157 -0.2433
Na 4.4292 5.1245 4.4960
Na 11.0619 1.7345 3.7647
Na 2.6472 -0.7829 2.5271
Na 1.2114 4.7445 2.1840
Na 3.2130 2.6460 4.9544
Na 1.8618 3.7941 -0.7018
Na 9.1203 0.0535 7.1371
Na 6.5529 -1.2768 1.9393
O 2.2440 4.5527 4.1500
O 7.5219 -3.1835 2.7438
O 1.6782 1.1238 1.7226
O 8.8768 1.1627 3.4186
O 4.9335 1.5802 4.0206
O 9.6247 -3.4907 6.6616
O 0.8891 0.2065 3.4751
O 4.3678 -1.8486 1.5933
O 12.0309 -0.1722 4.5692
O 10.0893 -1.8532 7.9416
O 5.3981 3.2177 5.3005
O 11.5663 -1.8097 3.2892
O 4.8324 -0.2111 2.8732
O 8.0876 0.2453 5.1711
O 6.9351 -0.5183 6.7910
O 2.8307 1.8874 0.1027

=====

Entry 3:
14
Lattice="-1.8566 -4.4813 -2.6345 4.3575 -3.2814 2.5108 -4.8192 1.0713 7.3567" Properties=species:S:1:pos:R:3 comment="Na5O2, relaxed, DFT GGA-PBE" energy_ev_per_atom=-3.278 spacegroup="C2/c, No. 15" pbc="T T T"
Na -3.0229 -1.5331 4.2984
Na -5.1307 -3.8763 3.7793
Na 0.7046 -5.1583 2.9345
Na 2.8124 -2.8151 3.4536
Na -2.7442 -5.0156 5.3295
Na 0.4259 -1.6758 1.9034
Na -0.7030 -2.8331 5.7541
Na 0.1078 -3.1896 -0.7652
Na -1.6153 -3.8583 1.4788
Na 2.3931 -4.5731 0.6414
O -0.9759 -4.9597 6.7974
O -2.4076 -1.5160 6.6020
O -1.3424 -1.7317 0.4355
O 0.0893 -5.1754 0.6309

=====

Entry 4:
6
Lattice="-2.0780 -1.2086 2.5047 -0.9618 -3.3347 -2.4070 4.3555 -2.8662 2.2305" Properties=species:S:1:pos:R:3 comment="NaO2, relaxed, DFT GGA-PBE" e_above_lowest_polymorph_mev_per_atom=0 spacegroup="Pnnm, No. 58" pbc="T T T"
O 2.5892 -4.5156 2.3752
O -1.2735 -2.8939 -0.0470
O 1.6854 -4.6166 -0.8293
O 1.7083 -1.5842 0.6528
Na 0.0000 0.0000 0.0000
Na 0.6579 -3.7047 1.1641